{
  "formula": "Ba2Ga2S5",
  "functional": "SCAN",
  "state": "PBEsol geometry",
  "e_tot_ev_per_atom": -19.3678,
  "mass_density_g_cm3": 4.15,
  "space_group": "No. 15",
  "lattice": [[-7.6464, -0.6639, -3.6522], [-5.1259, -6.1651, 6.9560], [-5.1532, 8.1661, 4.4078]],
  "species": ["Ba", "Ba", "Ba", "Ba", "Ba", "Ba", "Ba", "Ba", "Ga", "Ga", "Ga", "Ga", "Ga", "Ga", "Ga", "Ga", "S", "S", "S", "S", "S", "S", "S", "S", "S", "S", "S", "S", "S", "S", "S", "S", "S", "S", "S", "S"],
  "fractional_positions": [[0.6085, 0.0121, 0.2838], [0.8915, 0.7162, 0.9879], [0.3915, 0.9879, 0.7162], [0.1042, 0.2686, 0.4272], [0.1085, 0.2838, 0.0121], [0.8958, 0.7314, 0.5728], [0.6042, 0.4272, 0.2686], [0.3958, 0.5728, 0.7314], [0.9163, 0.0200, 0.7743], [0.3802, 0.7658, 0.3788], [0.4163, 0.7743, 0.0200], [0.5837, 0.2257, 0.9800], [0.1198, 0.6212, 0.2342], [0.0837, 0.9800, 0.2257], [0.6198, 0.2342, 0.6212], [0.8802, 0.3788, 0.7658], [0.2257, 0.9653, 0.3903], [0.9580, 0.4813, 0.2357], [0.0578, 0.1847, 0.7369], [0.5420, 0.7643, 0.5187], [0.7500, 0.4070, 0.5930], [0.4027, 0.2510, 0.1661], [0.2500, 0.5930, 0.4070], [0.5578, 0.7369, 0.1847], [0.0420, 0.5187, 0.7643], [0.7257, 0.3903, 0.9653], [0.7500, 0.0280, 0.9720], [0.7743, 0.0347, 0.6097], [0.2500, 0.9720, 0.0280], [0.0973, 0.8339, 0.7490], [0.9422, 0.8153, 0.2631], [0.5973, 0.7490, 0.8339], [0.2743, 0.6097, 0.0347], [0.4580, 0.2357, 0.4813], [0.9027, 0.1661, 0.2510], [0.4422, 0.2631, 0.8153]]
}